A geometry-optimized Y3Ho2Hg3 structure, computed with GGA-PBE.

Output
E_tot   -4.06 eV/atom
Crystal system   orthorhombic
Total magnetization   0.00 μB/f.u.
E_form   -0.3802 eV/atom

a b c (Å): 3.727 5.301 11.498
angles (deg): 103.33 99.33 90.00
Element x y z (fractional)
1 Y 0.378 0.378 0.757
2 Hg 0.881 0.881 0.762
3 Ho 0.268 0.768 0.536
4 Y 0.622 0.622 0.243
5 Hg 0.000 0.500 0.000
6 Hg 0.119 0.119 0.238
7 Ho 0.732 0.232 0.464
8 Y 0.500 0.000 0.000